[1]
Here is a relaxed BeSeF crystal from the Alexandria database. Energies are from PBE.

It has space group Cc (No. 9), with a = 15.838 Å, b = 5.204 Å, c = 9.961 Å, α = 90.00°, β = 128.85° and γ = 90.00°. The distinct sites, in fractional coordinates, are Be at (0.000, 0.068, 0.000), Be at (0.128, 0.206, 0.361), Be at (0.260, 0.299, 0.948), Se at (0.083, 0.274, 0.527), Se at (0.328, 0.251, 0.799), Se at (0.351, 0.291, 0.257), F at (0.029, 0.197, 0.161), F at (0.192, 0.055, 0.906) and F at (0.205, 0.437, 0.396).

Its calculated total energy is -0.3460 Ry/atom. The uncorrected formation energy is -5.0 eV/f.u.

[2]
Here is a relaxed Be3SeF crystal from the Alexandria database. Energies are from PBE.

It has space group Pm-3m (No. 221), with a = 4.403 Å, b = 4.403 Å, c = 4.403 Å, α = 90.00°, β = 90.00° and γ = 90.00°. The distinct sites, in fractional coordinates, are Be at (0.000, 0.000, 0.500), Se at (0.000, 0.000, 0.000) and F at (0.500, 0.500, 0.500).

For the energy above the most stable polymorph in this dataset, the calculation gives 45.5 kJ per mole of atoms. Its calculated total energy is -0.1844 Ry/atom. The uncorrected formation energy is 4.0 eV/f.u.

> calculated total energy of number 1 (BeSeF)?

-0.3460 Ry/atom

> Which formula does entry 2 have?

Be3SeF

> Among the records above, which one has the highest calculated total energy?

Be3SeF